Record 1
An optimized crystal structure of NaBAu. Source: Alexandria via LeMat-Bulk, functional PBE-GGA.

a b c (Å): 12.598 12.598 12.598
angles (deg): 13.86 13.86 13.86
Positions (direct):
Na (0.211, 0.211, 0.211)
Na (0.789, 0.789, 0.789)
B (0.333, 0.333, 0.333)
B (0.667, 0.667, 0.667)
Au (0.058, 0.058, 0.058)
Au (0.942, 0.942, 0.942)

Calculated values
The calculated formation energy comes out at 317 meV/atom. The total magnetization comes out at 0.000 μB per atom. The final energy comes out at -3.441 eV per atom.

***

Record 2
An optimized crystal structure of SrRe2Sb. Source: Alexandria via LeMat-Bulk, functional PBE-GGA.

a b c (Å): 5.254 5.254 5.588
angles (deg): 104.23 104.23 41.53
Positions (direct):
Sr (0.000, 0.000, 0.000)
Re (0.232, 0.232, 0.625)
Re (0.768, 0.768, 0.375)
Sb (0.500, 0.500, 0.500)

Calculated values
Its raw formation energy is 0.5719 eV per atom. The total magnetization comes out at 0.000 μB per atom. The final energy comes out at -7.103 eV per atom.

***

Record 3
An optimized crystal structure of Co2Pb. Source: Alexandria via LeMat-Bulk, functional PBE-GGA.

a b c (Å): 5.343 5.343 4.154
angles (deg): 90.00 90.00 56.71
Positions (direct):
Co (0.086, 0.356, 0.250)
Co (0.356, 0.086, 0.750)
Co (0.644, 0.914, 0.250)
Co (0.914, 0.644, 0.750)
Pb (0.254, 0.746, 0.250)
Pb (0.746, 0.254, 0.750)

Calculated values
The calculated formation energy comes out at 436 meV/atom. The total magnetization comes out at 1.017 μB per atom. The final energy comes out at -5.537 eV per atom.

***

Record 4
An optimized crystal structure of MgPPt2C. Source: Alexandria via LeMat-Bulk, functional PBE-GGA.

a b c (Å): 4.080 4.080 4.578
angles (deg): 90.00 90.00 90.00
Positions (direct):
Mg (0.000, 0.000, 0.000)
P (0.500, 0.500, 0.000)
Pt (0.000, 0.500, 0.500)
Pt (0.500, 0.000, 0.500)
C (0.000, 0.000, 0.500)

Calculated values
The calculated formation energy comes out at 340 meV/atom. The total magnetization comes out at 0.000 μB per atom. The final energy comes out at -5.322 eV per atom.

***

Record 5
An optimized crystal structure of LiMn2Os2. Source: Alexandria via LeMat-Bulk, functional PBE-GGA.

a b c (Å): 7.234 7.234 2.613
angles (deg): 90.00 90.00 90.00
Positions (direct):
Li (0.000, 0.000, 0.000)
Li (0.500, 0.500, 0.000)
Mn (0.121, 0.379, 0.000)
Mn (0.379, 0.879, 0.000)
Mn (0.621, 0.121, 0.000)
Mn (0.879, 0.621, 0.000)
Os (0.168, 0.668, 0.500)
Os (0.332, 0.168, 0.500)
Os (0.668, 0.832, 0.500)
Os (0.832, 0.332, 0.500)

Calculated values
The calculated formation energy comes out at 196 meV/atom. The total magnetization comes out at 0.001 μB per atom. The final energy comes out at -8.346 eV per atom.

***

Record 6
An optimized crystal structure of ZrScGa2. Source: Alexandria via LeMat-Bulk, functional PBE-GGA.

a b c (Å): 8.726 8.726 8.726
angles (deg): 22.04 22.04 22.04
Positions (direct):
Zr (0.000, 0.000, 0.000)
Sc (0.500, 0.500, 0.500)
Ga (0.249, 0.249, 0.249)
Ga (0.751, 0.751, 0.751)

Calculated values
The calculated formation energy comes out at -375 meV/atom. The total magnetization comes out at 0.000 μB per atom. The final energy comes out at -5.609 eV per atom.

***

Record 7
An optimized crystal structure of Ti4Pd3Rh2. Source: Alexandria via LeMat-Bulk, functional PBE-GGA.

a b c (Å): 4.672 4.672 8.417
angles (deg): 100.07 100.07 50.09
Positions (direct):
Ti (0.028, 0.028, 0.336)
Ti (0.333, 0.333, 0.117)
Ti (0.667, 0.667, 0.883)
Ti (0.972, 0.972, 0.664)
Pd (0.000, 0.000, 0.000)
Pd (0.340, 0.340, 0.439)
Pd (0.660, 0.660, 0.561)
Rh (0.325, 0.325, 0.790)
Rh (0.675, 0.675, 0.210)

Calculated values
The calculated formation energy comes out at -616 meV/atom. The total magnetization comes out at 0.004 μB per atom. The final energy comes out at -7.490 eV per atom.

***

Record 8
An optimized crystal structure of CsLiTe2. Source: Alexandria via LeMat-Bulk, functional PBE-GGA.

a b c (Å): 8.103 4.699 17.100
angles (deg): 90.00 90.00 90.00
Positions (direct):
Cs (0.249, 0.250, 0.065)
Cs (0.251, 0.750, 0.565)
Cs (0.749, 0.250, 0.435)
Cs (0.751, 0.750, 0.935)
Li (0.244, 0.750, 0.287)
Li (0.256, 0.250, 0.787)
Li (0.744, 0.750, 0.213)
Li (0.756, 0.250, 0.713)
Te (0.002, 0.750, 0.750)
Te (0.249, 0.250, 0.385)
Te (0.251, 0.750, 0.885)
Te (0.498, 0.250, 0.250)
Te (0.502, 0.750, 0.750)
Te (0.749, 0.250, 0.115)
Te (0.751, 0.750, 0.615)
Te (0.998, 0.250, 0.250)

Calculated values
Its raw formation energy is -0.7458 eV per atom. The total magnetization comes out at 0.000 μB per atom. The final energy comes out at -3.008 eV per atom.

***

Record 9
An optimized crystal structure of BaLiBi2. Source: Alexandria via LeMat-Bulk, functional PBE-GGA.

a b c (Å): 6.716 6.716 6.716
angles (deg): 45.87 45.87 45.87
Positions (direct):
Ba (0.000, 0.000, 0.000)
Li (0.500, 0.500, 0.500)
Bi (0.206, 0.206, 0.206)
Bi (0.794, 0.794, 0.794)

Calculated values
The calculated formation energy comes out at -478 meV/atom. The total magnetization comes out at 0.000 μB per atom. The final energy comes out at -3.378 eV per atom.

***

Repeat the second record exactly.
An optimized crystal structure of SrRe2Sb. Source: Alexandria via LeMat-Bulk, functional PBE-GGA.

a b c (Å): 5.254 5.254 5.588
angles (deg): 104.23 104.23 41.53
Positions (direct):
Sr (0.000, 0.000, 0.000)
Re (0.232, 0.232, 0.625)
Re (0.768, 0.768, 0.375)
Sb (0.500, 0.500, 0.500)

Calculated values
Its raw formation energy is 0.5719 eV per atom. The total magnetization comes out at 0.000 μB per atom. The final energy comes out at -7.103 eV per atom.

***

Among the records above, which one has the highest final energy?
CsLiTe2

***

What did the third record say?
An optimized crystal structure of Co2Pb. Source: Alexandria via LeMat-Bulk, functional PBE-GGA.

a b c (Å): 5.343 5.343 4.154
angles (deg): 90.00 90.00 56.71
Positions (direct):
Co (0.086, 0.356, 0.250)
Co (0.356, 0.086, 0.750)
Co (0.644, 0.914, 0.250)
Co (0.914, 0.644, 0.750)
Pb (0.254, 0.746, 0.250)
Pb (0.746, 0.254, 0.750)

Calculated values
The calculated formation energy comes out at 436 meV/atom. The total magnetization comes out at 1.017 μB per atom. The final energy comes out at -5.537 eV per atom.